# Ce8PuTl3 | Alexandria | GGA-PBE | optimized geometry
# Formation enthalpy at 0 K (eV per atom): -0.0918
# Fermi-level density of states (states/eV/f.u.): 25.03
data_Ce8PuTl3
_chemical_formula_sum 'Ce16 Pu2 Tl6'
_cell_length_a 11.172
_cell_length_b 8.918
_cell_length_c 7.664
_cell_angle_alpha 90.00
_cell_angle_beta 115.86
_cell_angle_gamma 90.00
_symmetry_space_group_name_H-M 'C 1 m 1'
_symmetry_Int_Tables_number 8
loop_
_symmetry_equiv_pos_as_xyz
'x,y,z'
'x,-y,z'
'x+1/2,y+1/2,z'
'x+1/2,-y+1/2,z'
loop_
_atom_site_label
_atom_site_type_symbol
_atom_site_fract_x
_atom_site_fract_y
_atom_site_fract_z
_atom_site_occupancy
Ce1 Ce 0.000 0.000 0.000 1
Ce2 Ce 0.026 0.315 0.266 1
Ce3 Ce 0.100 0.000 0.549 1
Ce4 Ce 0.220 0.214 0.871 1
Ce5 Ce 0.249 0.000 0.276 1
Ce6 Ce 0.473 0.000 0.843 1
Pu1 Pu 0.360 0.000 0.053 1
Tl1 Tl 0.287 0.500 0.191 1
Tl2 Tl 0.362 0.299 0.576 1